# 1
Crystalline MnTlHg at its relaxed geometry. Source: the Alexandria database, functional PBE-GGA.

Geometry as POSCAR:
```
MnTlHg
1.0
-1.636 1.636 6.189
1.636 -1.636 6.189
1.636 1.636 -6.189
Mn Tl Hg
1 1 1
direct
0.000 0.000 0.000
0.660 0.660 0.000
0.362 0.362 0.000
```

Output
density of states at the Fermi level = 2.00 states/eV/cell
energy = -3.591 eV per atom
SG = No. 107
ΔH_f (0 K) = 0.354 eV per atom
energy above the lowest structure with this stoichiometry = 0 meV/atom

# 2
Crystalline Pr7YSc2 at its relaxed geometry. Source: the Alexandria database, functional PBE-GGA.

Geometry as POSCAR:
```
Pr7YSc2
1.0
4.539 -7.817 0.000
4.539 7.817 0.000
0.000 0.000 5.637
Pr Y Sc
7 1 2
direct
0.000 0.000 0.000
0.196 0.438 0.000
0.251 0.749 0.500
0.438 0.196 0.000
0.562 0.804 0.000
0.749 0.251 0.500
0.804 0.562 0.000
0.500 0.500 0.500
0.202 0.798 0.000
0.798 0.202 0.000
```

Output
density of states at the Fermi level = 14.30 states/eV/cell
energy = -4.676 eV per atom
SG = No. 65
ΔH_f (0 K) = 0.582 eV per atom

# 3
Crystalline MnRe2Se at its relaxed geometry. Source: the Alexandria database, functional PBE-GGA.

Geometry as POSCAR:
```
MnRe2Se
1.0
-2.010 2.010 3.709
2.010 -2.010 3.709
2.010 2.010 -3.709
Mn Re Se
1 2 1
direct
0.000 0.000 0.000
0.250 0.750 0.500
0.500 0.500 0.000
0.750 0.250 0.500
```

Output
formation energy without anion corrections = 624 meV/atom
density of states at the Fermi level = 3.92 states/eV/cell
energy = -8.763 eV per atom
SG = No. 119

# 4
Crystalline OsRuRh at its relaxed geometry. Source: the Alexandria database, functional PBE-GGA.

Geometry as POSCAR:
```
OsRuRh
1.0
2.715 0.000 0.000
-1.357 2.351 0.000
0.000 0.000 6.672
Os Ru Rh
1 1 1
direct
0.000 0.000 0.000
0.333 0.667 0.681
0.667 0.333 0.339
```

Output
density of states at the Fermi level = 3.67 states/eV/cell
energy = -9.217 eV per atom
SG = No. 156
ΔH_f (0 K) = 0.068 eV per atom
energy above the lowest structure with this stoichiometry = 13 meV/atom

# 5
Crystalline SrTaTe at its relaxed geometry. Source: the Alexandria database, functional PBE-GGA.

Geometry as POSCAR:
```
SrTaTe
1.0
0.000 3.516 3.516
3.516 0.000 3.516
3.516 3.516 0.000
Sr Ta Te
1 1 1
direct
0.000 0.000 0.000
0.500 0.500 0.500
0.750 0.750 0.750
```

Output
formation energy without anion corrections = 623 meV/atom
density of states at the Fermi level = 3.45 states/eV/cell
energy = -4.935 eV per atom
SG = No. 216
energy above the lowest structure with this stoichiometry = 961 meV/atom

# 6
Crystalline Ba7Mg at its relaxed geometry. Source: the Alexandria database, functional PBE-GGA.

Geometry as POSCAR:
```
Ba7Mg
1.0
0.000 6.124 6.124
6.124 0.000 6.124
6.124 6.124 0.000
Ba Mg
7 1
direct
0.000 0.000 0.000
0.000 0.000 0.500
0.000 0.500 0.000
0.000 0.500 0.500
0.500 0.000 0.000
0.500 0.000 0.500
0.500 0.500 0.000
0.500 0.500 0.500
```

Output
density of states at the Fermi level = 14.51 states/eV/cell
energy = -1.814 eV per atom
SG = No. 225
ΔH_f (0 K) = 0.068 eV per atom

# 7
Crystalline BeRu5 at its relaxed geometry. Source: the Alexandria database, functional PBE-GGA.

Geometry as POSCAR:
```
BeRu5
1.0
4.859 -1.365 0.000
4.859 1.365 0.000
-1.460 0.000 6.026
Be Ru
1 5
direct
0.000 0.000 0.000
0.053 0.053 0.611
0.331 0.331 0.664
0.387 0.387 0.266
0.667 0.667 0.327
0.717 0.717 0.933
```

Output
density of states at the Fermi level = 6.28 states/eV/cell
energy = -8.305 eV per atom
SG = No. 8
ΔH_f (0 K) = 0.046 eV per atom
energy above the lowest structure with this stoichiometry = 72 meV/atom

# 8
Crystalline Dy2Zr3PaN6 at its relaxed geometry. Source: the Alexandria database, functional PBE-GGA.

Geometry as POSCAR:
```
Dy2Zr3PaN6
1.0
2.906 -5.044 0.000
2.906 5.044 0.000
-1.918 0.000 5.520
Dy Zr Pa N
2 3 1 6
direct
0.167 0.833 0.000
0.833 0.167 0.000
0.000 0.000 0.500
0.330 0.670 0.500
0.670 0.330 0.500
0.500 0.500 0.000
0.087 0.413 0.738
0.262 0.262 0.260
0.413 0.087 0.738
0.587 0.913 0.262
0.738 0.738 0.740
0.913 0.587 0.262
```

Output
formation energy without anion corrections = -1713 meV/atom
density of states at the Fermi level = 4.40 states/eV/cell
energy = -9.571 eV per atom
SG = No. 12

# 9
Crystalline CaVCu at its relaxed geometry. Source: the Alexandria database, functional PBE-GGA.

Geometry as POSCAR:
```
CaVCu
1.0
4.551 0.000 0.000
-2.275 3.941 0.000
0.000 0.000 11.831
Ca V Cu
2 2 2
direct
0.000 0.000 0.250
0.000 0.000 0.750
0.000 0.000 0.000
0.000 0.000 0.500
0.333 0.667 0.250
0.667 0.333 0.750
```

Output
density of states at the Fermi level = 9.48 states/eV/cell
energy = -3.265 eV per atom
SG = No. 194
ΔH_f (0 K) = 1.807 eV per atom
energy above the lowest structure with this stoichiometry = 1557 meV/atom

# 10
Crystalline NaSbN2O at its relaxed geometry. Source: the Alexandria database, functional PBE-GGA.

Geometry as POSCAR:
```
NaSbN2O
1.0
4.206 0.000 0.000
0.000 4.206 0.000
0.000 0.000 4.051
Na Sb N O
1 1 2 1
direct
0.000 0.000 0.000
0.500 0.500 0.500
0.000 0.500 0.000
0.500 0.000 0.000
0.000 0.000 0.500
```

Output
formation energy without anion corrections = 1595 meV/atom
density of states at the Fermi level = 1.37 states/eV/cell
energy = -3.815 eV per atom
SG = No. 123

# 11
Crystalline Ag2BrO2 at its relaxed geometry. Source: the Alexandria database, functional PBE-GGA.

Geometry as POSCAR:
```
Ag2BrO2
1.0
3.310 -1.909 0.000
3.310 1.909 0.000
-0.011 0.000 6.752
Ag Br O
2 1 2
direct
0.167 0.167 0.208
0.833 0.833 0.792
0.500 0.500 0.500
0.166 0.166 0.869
0.834 0.834 0.131
```

Output
formation energy without anion corrections = 212 meV/atom
density of states at the Fermi level = 2.44 states/eV/cell
energy = -3.246 eV per atom
SG = No. 12

# 12
Crystalline MgAgPb2 at its relaxed geometry. Source: the Alexandria database, functional PBE-GGA.

Geometry as POSCAR:
```
MgAgPb2
1.0
3.570 0.000 0.000
0.000 4.934 0.000
-1.761 0.000 5.769
Mg Ag Pb
1 1 2
direct
0.000 0.000 0.000
0.861 0.500 0.725
0.269 0.000 0.542
0.593 0.500 0.183
```

Output
density of states at the Fermi level = 1.44 states/eV/cell
energy = -2.965 eV per atom
SG = No. 6
ΔH_f (0 K) = 0.001 eV per atom

# 13
Crystalline CdCu3Pd6 at its relaxed geometry. Source: the Alexandria database, functional PBE-GGA.

Geometry as POSCAR:
```
CdCu3Pd6
1.0
8.099 0.000 0.000
0.000 4.139 0.000
-1.128 0.000 8.888
Cd Cu Pd
2 6 12
direct
0.058 0.250 0.396
0.942 0.750 0.604
0.254 0.250 0.018
0.348 0.750 0.815
0.450 0.250 0.604
0.550 0.750 0.396
0.652 0.250 0.185
0.746 0.750 0.982
0.056 0.750 0.910
0.161 0.750 0.207
0.168 0.250 0.720
0.272 0.750 0.519
0.376 0.250 0.308
0.464 0.750 0.102
0.536 0.250 0.898
0.624 0.750 0.692
0.728 0.250 0.481
0.832 0.750 0.280
0.839 0.250 0.793
0.944 0.250 0.090
```

Output
density of states at the Fermi level = 19.68 states/eV/cell
energy = -4.583 eV per atom
SG = No. 11
ΔH_f (0 K) = -0.147 eV per atom
energy above the lowest structure with this stoichiometry = 0 meV/atom

# 14
Crystalline LaTa at its relaxed geometry. Source: the Alexandria database, functional PBE-GGA.

Geometry as POSCAR:
```
LaTa
1.0
4.647 -1.551 0.000
4.647 1.551 0.000
-0.417 0.000 7.244
La Ta
2 2
direct
0.125 0.125 0.337
0.875 0.875 0.663
0.371 0.371 0.079
0.629 0.629 0.921
```

Output
density of states at the Fermi level = 4.59 states/eV/cell
energy = -7.915 eV per atom
SG = No. 12
ΔH_f (0 K) = 0.475 eV per atom
energy above the lowest structure with this stoichiometry = 195 meV/atom

# 15
Crystalline Sr2Cd2CuPd5 at its relaxed geometry. Source: the Alexandria database, functional PBE-GGA.

Geometry as POSCAR:
```
Sr2Cd2CuPd5
1.0
10.629 0.000 0.000
0.000 10.629 0.000
0.000 0.000 3.637
Sr Cd Cu Pd
4 4 2 10
direct
0.171 0.329 0.000
0.329 0.829 0.000
0.671 0.171 0.000
0.829 0.671 0.000
0.132 0.632 0.000
0.368 0.132 0.000
0.632 0.868 0.000
0.868 0.368 0.000
0.000 0.000 0.000
0.500 0.500 0.000
0.000 0.500 0.500
0.055 0.818 0.500
0.182 0.055 0.500
0.318 0.555 0.500
0.445 0.318 0.500
0.500 0.000 0.500
0.555 0.682 0.500
0.682 0.445 0.500
0.818 0.945 0.500
0.945 0.182 0.500
```

Output
density of states at the Fermi level = 10.82 states/eV/cell
energy = -3.847 eV per atom
SG = No. 127
ΔH_f (0 K) = -0.322 eV per atom

# 16
Crystalline Sm4FeHg at its relaxed geometry. Source: the Alexandria database, functional PBE-GGA.

Geometry as POSCAR:
```
Sm4FeHg
1.0
4.381 -6.328 0.000
4.381 6.328 0.000
-1.731 0.000 6.000
Sm Fe Hg
8 2 2
direct
0.057 0.733 0.961
0.204 0.371 0.596
0.267 0.943 0.539
0.371 0.204 0.096
0.629 0.796 0.904
0.733 0.057 0.461
0.796 0.629 0.404
0.943 0.267 0.039
0.001 0.999 0.750
0.999 0.001 0.250
0.374 0.626 0.250
0.626 0.374 0.750
```

Output
density of states at the Fermi level = 13.89 states/eV/cell
energy = -4.743 eV per atom
SG = No. 15
ΔH_f (0 K) = -0.136 eV per atom

# 17
Crystalline MnTe2W at its relaxed geometry. Source: the Alexandria database, functional PBE-GGA.

Geometry as POSCAR:
```
MnTe2W
1.0
3.561 0.000 0.000
0.000 4.265 0.000
0.000 0.000 5.456
Mn Te W
1 2 1
direct
0.000 0.000 0.000
0.000 0.500 0.500
0.500 0.500 0.000
0.500 0.000 0.500
```

Output
formation energy without anion corrections = 907 meV/atom
density of states at the Fermi level = 4.11 states/eV/cell
energy = -6.194 eV per atom
SG = No. 47
energy above the lowest structure with this stoichiometry = 824 meV/atom

# 18
Crystalline EuIn at its relaxed geometry. Source: the Alexandria database, functional PBE-GGA.

Geometry as POSCAR:
```
EuIn
1.0
3.950 0.000 0.000
0.000 3.950 0.000
0.000 0.000 3.950
Eu In
1 1
direct
0.000 0.000 0.000
0.500 0.500 0.500
```

Output
density of states at the Fermi level = 1.98 states/eV/cell
energy = -6.971 eV per atom
SG = No. 221
ΔH_f (0 K) = -0.464 eV per atom

# 19
Crystalline CrCd2P at its relaxed geometry. Source: the Alexandria database, functional PBE-GGA.

Geometry as POSCAR:
```
CrCd2P
1.0
-1.667 2.283 5.057
1.667 -2.283 5.057
1.667 2.283 -5.057
Cr Cd P
1 2 1
direct
0.000 0.000 0.000
0.453 0.453 0.000
0.747 0.247 0.500
0.157 0.657 0.500
```

Output
density of states at the Fermi level = 2.18 states/eV/cell
energy = -4.008 eV per atom
SG = No. 44
ΔH_f (0 K) = 0.208 eV per atom

# 20
Crystalline ScTa2Re at its relaxed geometry. Source: the Alexandria database, functional PBE-GGA.

Geometry as POSCAR:
```
ScTa2Re
1.0
4.659 0.000 0.000
0.000 4.659 0.000
0.000 0.000 3.251
Sc Ta Re
1 2 1
direct
0.000 0.000 0.000
0.000 0.500 0.500
0.500 0.000 0.500
0.500 0.500 0.000
```

Output
density of states at the Fermi level = 5.51 states/eV/cell
energy = -10.580 eV per atom
SG = No. 123
ΔH_f (0 K) = 0.041 eV per atom
energy above the lowest structure with this stoichiometry = 137 meV/atom